Entry 1:
PBE Ac2PmYO6, optimized geometry; raw formation energy = -3.380 eV/atom
1.0
6.091 0.000 0.000
0.000 6.286 0.000
-6.067 0.000 8.805
Ac Pm Y O
4 2 2 12
direct
0.235 0.048 0.251 Ac
0.235 0.452 0.751 Ac
0.765 0.548 0.249 Ac
0.765 0.952 0.749 Ac
0.500 0.000 0.000 Pm
0.500 0.500 0.500 Pm
0.000 0.000 0.500 Y
0.000 0.500 0.000 Y
0.123 0.201 0.931 O
0.123 0.299 0.431 O
0.234 0.694 0.933 O
0.234 0.806 0.433 O
0.371 0.058 0.746 O
0.371 0.442 0.246 O
0.629 0.558 0.754 O
0.629 0.942 0.254 O
0.766 0.194 0.567 O
0.766 0.306 0.067 O
0.877 0.701 0.569 O
0.877 0.799 0.069 O



Entry 2:
PBE Ac2PmZrO6, optimized geometry; raw formation energy = -3.195 eV/atom
1.0
6.069 0.000 0.000
0.000 6.208 0.000
-5.924 0.000 8.593
Ac Pm Zr O
4 2 2 12
direct
0.231 0.060 0.243 Ac
0.231 0.440 0.743 Ac
0.769 0.560 0.257 Ac
0.769 0.940 0.757 Ac
0.500 0.000 0.000 Pm
0.500 0.500 0.500 Pm
0.000 0.000 0.500 Zr
0.000 0.500 0.000 Zr
0.122 0.204 0.942 O
0.122 0.296 0.442 O
0.234 0.689 0.939 O
0.234 0.811 0.439 O
0.352 0.040 0.737 O
0.352 0.460 0.237 O
0.648 0.540 0.763 O
0.648 0.960 0.263 O
0.766 0.189 0.561 O
0.766 0.311 0.061 O
0.878 0.704 0.558 O
0.878 0.796 0.058 O



Entry 3:
PBE Ac2PrO, optimized geometry; raw formation energy = -1.000 eV/atom
1.0
3.825 0.000 0.000
-1.912 3.312 0.000
0.000 0.000 30.901
Ac Pr O
6 3 3
direct
0.000 0.000 0.118 Ac
0.000 0.000 0.882 Ac
0.333 0.667 0.548 Ac
0.333 0.667 0.785 Ac
0.667 0.333 0.215 Ac
0.667 0.333 0.452 Ac
0.000 0.000 0.000 Pr
0.333 0.667 0.667 Pr
0.667 0.333 0.333 Pr
0.000 0.000 0.500 O
0.333 0.667 0.167 O
0.667 0.333 0.833 O



Entry 4:
PBE AcPrO4, optimized geometry; raw formation energy = -2.819 eV/atom
1.0
6.943 0.000 0.000
0.000 4.189 0.000
-0.903 0.000 6.722
Ac Pr O
2 2 8
direct
0.000 0.000 0.000 Ac
0.500 0.500 0.000 Ac
0.102 0.500 0.537 Pr
0.602 0.000 0.537 Pr
0.145 0.500 0.895 O
0.224 0.000 0.347 O
0.373 0.000 0.205 O
0.451 0.500 0.618 O
0.645 0.000 0.895 O
0.724 0.500 0.347 O
0.873 0.500 0.205 O
0.951 0.000 0.618 O